! PBE MnCdP2, optimized geometry; values from VASP
! ΔE_f (eV/atom): 0.354
! Uncorrected energy (eV per atom): -4.872
! Space-group type: I-4m2 (119)
! Magnetization (μB per cell): 3.657
&SYSTEM
  ibrav = 0, nat = 4, ntyp = 3
/
ATOMIC_SPECIES
Mn 54.94 Mn.upf
Cd 112.41 Cd.upf
P 30.97 P.upf
CELL_PARAMETERS angstrom
-1.878 1.878 4.795
1.878 -1.878 4.795
1.878 1.878 -4.795
ATOMIC_POSITIONS angstrom
Mn 0.000 0.000 0.000
Cd 0.000 1.878 2.397
P 1.878 0.000 2.397
P 0.000 0.000 4.795



! PBE SiMoOs3, optimized geometry; values from VASP
! Uncorrected energy (eV per atom): -8.813
! Formation energy (no corrections) (eV/atom): 1.1761
! Relative energy among the computed polymorphs (meV/atom): 0
! Space-group type: Pm-3m (221)
! Magnetization (μB per cell): 1.618
&SYSTEM
  ibrav = 0, nat = 5, ntyp = 3
/
ATOMIC_SPECIES
Si 28.09 Si.upf
Mo 95.94 Mo.upf
Os 190.23 Os.upf
CELL_PARAMETERS angstrom
4.344 0.000 0.000
0.000 4.344 0.000
0.000 0.000 4.344
ATOMIC_POSITIONS angstrom
Si 0.000 0.000 0.000
Mo 2.172 2.172 2.172
Os 0.000 0.000 2.172
Os 0.000 2.172 0.000
Os 2.172 0.000 0.000